Entry 1:
VASP calculation (PBE-GGA) on a relaxed ZrTaAsSe2 crystal.

Results
Excess energy over the best structure of this formula in the dataset: 461.7 meV per atom
Mass density: 6.27 g/cm3
Magnetization: 2.2 μB per cell
N(E_F): 3.93 states/eV per cell

a = 5.075 Å, b = 5.075 Å, c = 5.189 Å
α = 90.00°, β = 90.00°, γ = 90.00°
Last column: magnetic moment on the atom in μB.
Fractional positions:
Ta  0.500  0.500  0.500  1.90
Se  0.000  0.500  0.000  -0.13
Se  0.500  0.000  0.000  -0.13
As  0.000  0.000  0.500  -0.17
Zr  0.000  0.000  0.000  0.04

***

Entry 2:
VASP calculation (PBE-GGA) on a relaxed ZrTaAsSe2 crystal.

Results
Excess energy over the best structure of this formula in the dataset: 0.0 meV per atom
Mass density: 6.82 g/cm3
Magnetization: 1.4 μB per cell
N(E_F): 4.32 states/eV per cell

a = 4.951 Å, b = 4.951 Å, c = 5.014 Å
α = 90.00°, β = 90.00°, γ = 90.00°
Last column: magnetic moment on the atom in μB.
Fractional positions:
Se  0.500  0.000  0.000  -0.07
Se  0.000  0.500  0.000  -0.07
Zr  0.500  0.500  0.500  1.05
As  0.000  0.000  0.500  -0.07
Ta  0.000  0.000  0.000  0.09

***

Number 1: E_tot -5.812 eV/atom. Number 2: E_tot -6.274 eV/atom.